1.
A plane-wave DFT calculation with PBE was carried out for crystalline Er3AlTl at its relaxed geometry.

Summary:
- energy of formation from the pure elements (kJ/mol of atoms) = -25.5
- space-group type = Cmcm, No. 63

```
data_Er3AlTl
_chemical_formula_sum 'Er6 Al2 Tl2'
_space_group_name_H-M_alt 'P 1'
_space_group_IT_number 1
_cell_length_a 11.160
_cell_length_b 11.160
_cell_length_c 4.908
_cell_angle_alpha 90.00
_cell_angle_beta 90.00
_cell_angle_gamma 154.61
loop_
_space_group_symop_operation_xyz
'x,y,z'
loop_
_atom_site_label
_atom_site_fract_x
_atom_site_fract_y
_atom_site_fract_z
_atom_site_occupancy
Er1 0.058 0.942 0.750 1
Er2 0.250 0.750 0.750 1
Er3 0.441 0.559 0.750 1
Er4 0.559 0.441 0.250 1
Er5 0.750 0.250 0.250 1
Er6 0.942 0.058 0.250 1
Al1 0.155 0.845 0.250 1
Al2 0.845 0.155 0.750 1
Tl1 0.346 0.654 0.250 1
Tl2 0.654 0.346 0.750 1
```


2.
A plane-wave DFT calculation with PBE was carried out for crystalline V3MoCl at its relaxed geometry.

Summary:
- formation energy (no corrections) (eV/atom) = 0.6554
- space-group type = Pm-3m, No. 221

```
data_V3MoCl
_chemical_formula_sum 'V3 Mo1 Cl1'
_space_group_name_H-M_alt 'P 1'
_space_group_IT_number 1
_cell_length_a 4.222
_cell_length_b 4.222
_cell_length_c 4.222
_cell_angle_alpha 90.00
_cell_angle_beta 90.00
_cell_angle_gamma 90.00
loop_
_space_group_symop_operation_xyz
'x,y,z'
loop_
_atom_site_label
_atom_site_fract_x
_atom_site_fract_y
_atom_site_fract_z
_atom_site_occupancy
V1 0.000 0.000 0.500 1
V2 0.000 0.500 0.000 1
V3 0.500 0.000 0.000 1
Mo1 0.500 0.500 0.500 1
Cl1 0.000 0.000 0.000 1
```


The records above give, respectively, polymorph energy (0 for the lowest one) values of 0.0000, 0.0000 eV per atom.